Material: BaNbCu2
Method: DFT, PBE
State: optimized geometry

- volume (A^3/atom) = 27.85
- DFT formation energy (eV/atom) = 0.790
- excess energy over the best structure of this formula in the dataset (meV/atom) = 10
- space group = I4_1/amd, No. 141

Cell lengths 4.988, 4.988, 9.624 Å; angles 74.98, 74.98, 90.00 degrees
Element x y z (fractional)
Ba: 0.750 0.250 0.500
Ba: 0.000 0.000 0.000
Cu: 0.375 0.625 0.250
Cu: 0.375 0.625 0.750
Cu: 0.375 0.125 0.250
Cu: 0.875 0.625 0.750
Nb: 0.250 0.750 0.500
Nb: 0.500 0.500 0.000